Record 1
This record from the Alexandria database describes a geometry-optimized Nd5Tm3Th2 structure. The functional is PBE-GGA.

Structure (extended XYZ):
```
20
Lattice="5.466 -8.646 0.000 5.466 8.646 0.000 -5.439 0.000 7.270" Properties=species:S:1:pos:R:3 pbc="T T T"
Nd 1.386 8.125 5.452
Nd -1.363 1.955 5.468
Nd 1.386 4.807 5.452
Nd 4.106 3.872 1.817
Nd 1.356 -1.955 1.833
Nd 4.136 1.955 5.437
Nd 1.386 -3.872 5.452
Nd 4.106 -4.807 1.817
Nd 6.855 -1.955 1.802
Nd 4.106 -8.125 1.817
Tm 1.378 2.088 0.323
Tm -1.342 -2.088 3.958
Tm 4.106 0.619 1.817
Tm 1.386 -0.619 5.452
Tm 6.834 2.088 3.312
Tm 4.114 -2.088 6.946
Th 1.385 2.082 3.507
Th -1.334 -2.082 7.142
Th 6.826 2.082 0.128
Th 4.107 -2.082 3.763
```

Properties
magnetization	0.00	μB/f.u.
symmetry	C2/c
formation enthalpy at 0 K	208	meV per atom

=====

Record 2
This record from the Alexandria database describes a geometry-optimized AcMgZnSb structure. The functional is PBE-GGA.

Structure (extended XYZ):
```
4
Lattice="0.000 3.812 3.812 3.812 0.000 3.812 3.812 3.812 0.000" Properties=species:S:1:pos:R:3 pbc="T T T"
Ac 0.000 0.000 0.000
Mg 3.812 3.812 3.812
Zn 1.906 1.906 1.906
Sb 5.718 5.718 5.718
```

Properties
ΔE_f (raw)	-1.331	eV/f.u.
magnetization	0.00	μB/f.u.
symmetry	F-43m

=====

Record 3
This record from the Alexandria database describes a geometry-optimized KCdSnCl6 structure. The functional is PBE-GGA.

Structure (extended XYZ):
```
18
Lattice="6.922 0.000 0.000 -3.461 5.995 0.000 0.000 0.000 13.828" Properties=species:S:1:pos:R:3 pbc="T T T"
K 0.000 0.000 0.000
K 0.000 0.000 6.914
Cd 0.000 3.996 3.457
Cd 3.461 1.998 10.371
Sn 0.000 3.996 10.371
Sn 3.461 1.998 3.457
Cl -1.276 2.228 8.851
Cl -2.170 3.776 11.890
Cl 1.276 2.228 11.890
Cl -0.894 5.986 8.851
Cl 2.567 0.009 1.937
Cl 1.291 2.219 4.977
Cl 2.170 3.776 8.851
Cl 0.894 5.986 11.890
Cl 4.355 0.009 4.977
Cl 2.185 3.767 1.937
Cl 5.631 2.219 1.937
Cl 4.737 3.767 4.977
```

Properties
ΔE_f (raw)	-10.794	eV/f.u.
magnetization	0.76	μB/f.u.
symmetry	P-31c

=====

Record 4
This record from the Alexandria database describes a geometry-optimized CdAg4Ge structure. The functional is PBE-GGA.

Structure (extended XYZ):
```
6
Lattice="0.000 3.901 3.901 3.901 0.000 3.901 3.901 3.901 0.000" Properties=species:S:1:pos:R:3 pbc="T T T"
Cd 0.000 0.000 0.000
Ag 4.877 2.926 2.926
Ag 2.926 4.877 2.926
Ag 2.926 2.926 4.877
Ag 4.877 4.877 4.877
Ge 1.951 1.951 1.951
```

Properties
magnetization	0.00	μB/f.u.
symmetry	F-43m
formation enthalpy at 0 K	165	meV per atom

=====

magnetization of number 3 (KCdSnCl6)?
0.76 μB/f.u.

=====

Please write out number 4 again, unchanged.
This record from the Alexandria database describes a geometry-optimized CdAg4Ge structure. The functional is PBE-GGA.

Structure (extended XYZ):
```
6
Lattice="0.000 3.901 3.901 3.901 0.000 3.901 3.901 3.901 0.000" Properties=species:S:1:pos:R:3 pbc="T T T"
Cd 0.000 0.000 0.000
Ag 4.877 2.926 2.926
Ag 2.926 4.877 2.926
Ag 2.926 2.926 4.877
Ag 4.877 4.877 4.877
Ge 1.951 1.951 1.951
```

Properties
magnetization	0.00	μB/f.u.
symmetry	F-43m
formation enthalpy at 0 K	165	meV per atom